Computed, not measured: crystalline YSnH2Rh at its relaxed geometry at the PBE level of DFT.

For the volume, the calculation gives 88.2 Å³ per cell. Its mass density is 5.885 g cm⁻³.

The structure belongs to space group P4/mmm (No. 123); the cell edges are 3.914, 3.914 and 5.756 Å and the angles 90.00°, 90.00° and 90.00°. Symmetry generates all atoms from Y at (0.000, 0.000, 0.000), Sn at (0.500, 0.500, 0.500), H at (0.000, 0.500, 0.000) and Rh at (0.000, 0.000, 0.500).

---

Computed, not measured: crystalline Zr2SnHRh at its relaxed geometry at the PBE level of DFT.

For the volume, the calculation gives 80.7 Å³ per cell. Its mass density is 8.331 g cm⁻³.

The structure belongs to space group P4/mmm (No. 123); the cell edges are 4.397, 4.397 and 4.177 Å and the angles 90.00°, 90.00° and 90.00°. Symmetry generates all atoms from Zr at (0.000, 0.500, 0.000), Sn at (0.000, 0.000, 0.500), H at (0.500, 0.500, 0.000) and Rh at (0.500, 0.500, 0.500).

---

Computed, not measured: crystalline SrH3Rh at its relaxed geometry at the PBE level of DFT.

For the volume, the calculation gives 471.1 Å³ per cell. Its mass density is 5.458 g cm⁻³.

The structure belongs to space group C2/c (No. 15); the cell edges are 9.693, 9.333 and 5.268 Å and the angles 90.00°, 98.73° and 90.00°. Symmetry generates all atoms from Sr at (0.194, 0.128, 0.252), H at (0.063, 0.293, 0.457), H at (0.086, 0.411, 0.953), H at (0.146, 0.136, 0.773), Rh at (0.000, 0.246, 0.750) and Rh at (0.000, 0.428, 0.250).

---

Computed, not measured: crystalline Sr2H5Rh2 at its relaxed geometry at the PBE level of DFT.

For the volume, the calculation gives 106.6 Å³ per cell. Its mass density is 6.015 g cm⁻³.

The structure belongs to space group P4/mmm (No. 123); the cell edges are 3.742, 3.742 and 7.613 Å and the angles 90.00°, 90.00° and 90.00°. Symmetry generates all atoms from Sr at (0.000, 0.000, 0.000), Sr at (0.000, 0.000, 0.500), H at (0.000, 0.500, 0.248), H at (0.500, 0.500, 0.500) and Rh at (0.500, 0.500, 0.252).

---

Computed, not measured: crystalline Sr2HRh at its relaxed geometry at the PBE level of DFT.

For the volume, the calculation gives 296.7 Å³ per cell. Its mass density is 4.688 g cm⁻³. As for the distance to the lowest polymorph of the same formula: 634 meV per atom.

The structure belongs to space group R-3m (No. 166, hexagonal axes); the cell edges are 3.6715, 3.6715 and 25.4112 Å and the angles 90.00°, 90.00° and 120.00°. Symmetry generates all atoms from Sr at (0.0000, 0.0000, 0.1028), H at (0.0000, 0.0000, 0.5000) and Rh at (0.0000, 0.0000, 0.0000).

---

Computed, not measured: crystalline SrH3Rh at its relaxed geometry at the PBE level of DFT.

For the volume, the calculation gives 349.8 Å³ per cell. Its mass density is 5.512 g cm⁻³.

The structure belongs to space group R-3 (No. 148, hexagonal axes); the cell edges are 5.1901, 5.1901 and 14.9953 Å and the angles 90.00°, 90.00° and 120.00°. Symmetry generates all atoms from Sr at (0.0000, 0.0000, 0.1071), H at (0.0013, 0.5018, 0.0694) and Rh at (0.0000, 0.0000, 0.3264).

---

Computed, not measured: crystalline SrH3Rh at its relaxed geometry at the PBE level of DFT.

For the volume, the calculation gives 217.6 Å³ per cell. Its mass density is 4.432 g cm⁻³.

The structure belongs to space group R3m (No. 160, hexagonal axes); the cell edges are 6.2962, 6.2962 and 6.3369 Å and the angles 90.00°, 90.00° and 120.00°. Symmetry generates all atoms from Sr at (0.0000, 0.0000, 0.0000), H at (0.2136, 0.4271, 0.0125) and Rh at (0.0000, 0.0000, 0.4899).

---

Computed, not measured: crystalline Sr2H8Rh at its relaxed geometry at the PBE level of DFT.

For the volume, the calculation gives 247.5 Å³ per cell. Its mass density is 3.841 g cm⁻³.

The structure belongs to space group C2/m (No. 12); the cell edges are 14.931, 3.762 and 4.608 Å and the angles 90.00°, 107.03° and 90.00°. Symmetry generates all atoms from Sr at (0.154, 0.000, 0.166), H at (0.010, 0.000, 0.605), H at (0.054, 0.500, 0.869), H at (0.108, 0.500, 0.456), H at (0.240, 0.000, 0.746) and Rh at (0.000, 0.500, 0.500).

---

So what do the calculations give for total DFT energy (no corrections)? Going down the list: -5.038 -6.894 -4.183 -4.373 -3.124 -4.200 -3.851 -3.747 eV/atom.